Material: Tb5NdHo6
Method: DFT, PBE-GGA
State: optimized geometry

The space group is Immm (No. 71) and the conventional cell measures 5.7805, 7.4018 and 17.9648 Å, with angles of 90.00, 90.00 and 90.00 degrees. The asymmetric unit holds Tb at (0.0000, 0.0000, 0.0000), Tb at (0.0000, 0.0000, 0.3463), Tb at (0.0000, 0.5000, 0.3474), Nd at (0.0000, 0.5000, 0.0000), Ho at (0.0000, 0.2500, 0.1816) and Ho at (0.0000, 0.2499, 0.5000).

Its relative energy among the computed polymorphs is 1.13 eV per formula unit. The energy of formation is 0.11 eV per atom. The electronic total energy comes out at -108.12 eV per cell.